No. 1
The following is a DFT calculation (GGA-PBE) of a relaxed YMg2Hg2 crystal.

a b c (Å): 8.426 8.426 3.209
angles (deg): 90.00 90.00 90.00
Atoms (fractional coordinates):
Y1 0.000 0.000 0.000
Y2 0.500 0.500 0.000
Hg1 0.174 0.674 0.500
Hg2 0.826 0.326 0.500
Hg3 0.326 0.174 0.500
Hg4 0.674 0.826 0.500
Mg1 0.125 0.375 0.000
Mg2 0.375 0.875 0.000
Mg3 0.625 0.125 0.000
Mg4 0.875 0.625 0.000

Output
Its density of states at the Fermi level is 2.6 states/eV/f.u. Its density is 7.9 Mg/m³. The value obtained for the energy above the most stable polymorph in this dataset is 1.95 kcal/mol of atoms. For the energy of formation, the calculation gives -0.22 eV per atom.

***

No. 2
The following is a DFT calculation (GGA-PBE) of a relaxed YMg11Hg crystal.

a b c (Å): 5.900 7.695 7.756
angles (deg): 82.01 67.65 68.57
Atoms (fractional coordinates):
Mg1 0.651 0.352 0.348
Mg2 0.710 0.786 0.791
Mg3 0.349 0.648 0.652
Mg4 0.500 0.786 0.209
Mg5 0.001 0.648 0.348
Mg6 0.000 0.000 0.500
Mg7 0.500 0.000 0.500
Mg8 0.500 0.214 0.791
Mg9 0.000 0.500 0.000
Mg10 0.999 0.352 0.652
Mg11 0.290 0.214 0.209
Hg1 0.500 0.500 0.000
Y1 0.000 0.000 0.000

Output
Its density of states at the Fermi level is 5.4 states/eV/f.u. Its density is 3.1 Mg/m³. For the energy of formation, the calculation gives -0.07 eV per atom.

***

What did the first record say?
The following is a DFT calculation (GGA-PBE) of a relaxed YMg2Hg2 crystal.

a b c (Å): 8.426 8.426 3.209
angles (deg): 90.00 90.00 90.00
Atoms (fractional coordinates):
Y1 0.000 0.000 0.000
Y2 0.500 0.500 0.000
Hg1 0.174 0.674 0.500
Hg2 0.826 0.326 0.500
Hg3 0.326 0.174 0.500
Hg4 0.674 0.826 0.500
Mg1 0.125 0.375 0.000
Mg2 0.375 0.875 0.000
Mg3 0.625 0.125 0.000
Mg4 0.875 0.625 0.000

Output
Its density of states at the Fermi level is 2.6 states/eV/f.u. Its density is 7.9 Mg/m³. The value obtained for the energy above the most stable polymorph in this dataset is 1.95 kcal/mol of atoms. For the energy of formation, the calculation gives -0.22 eV per atom.